# 1
The following is a PBE calculation of crystalline ReH6Cl12 at its relaxed geometry, from Alexandria.

- calculated total energy (eV per atom) = -3.4081
- magnetization (μB per cell) = 1.021

Cell lengths 10.533, 10.533, 10.533 Å; angles 116.64, 116.64, 116.64 degrees
Element x y z (fractional)
Re 0.000 0.000 0.000
H 0.038 0.608 0.283
H 0.283 0.038 0.608
H 0.392 0.717 0.962
H 0.608 0.283 0.038
H 0.717 0.962 0.392
H 0.962 0.392 0.717
Cl 0.117 0.240 0.325
Cl 0.194 0.777 0.342
Cl 0.223 0.658 0.806
Cl 0.240 0.325 0.117
Cl 0.325 0.117 0.240
Cl 0.342 0.194 0.777
Cl 0.658 0.806 0.223
Cl 0.675 0.883 0.760
Cl 0.760 0.675 0.883
Cl 0.777 0.342 0.194
Cl 0.806 0.223 0.658
Cl 0.883 0.760 0.675



# 2
The following is a PBE calculation of crystalline ReH2Cl8 at its relaxed geometry, from Alexandria.

- calculated total energy (eV per atom) = -3.6035
- magnetization (μB per cell) = 1.021

Cell lengths 7.914, 7.914, 5.713 Å; angles 94.13, 94.13, 65.83 degrees
Element x y z (fractional)
Re 0.000 0.000 0.000
H 0.282 0.282 0.081
H 0.718 0.718 0.919
Cl 0.118 0.742 0.754
Cl 0.143 0.143 0.793
Cl 0.258 0.882 0.246
Cl 0.358 0.358 0.242
Cl 0.642 0.642 0.758
Cl 0.742 0.118 0.754
Cl 0.857 0.857 0.207
Cl 0.882 0.258 0.246



# 3
The following is a PBE calculation of crystalline ReHCl3 at its relaxed geometry, from Alexandria.

- calculated total energy (eV per atom) = -2.9447
- magnetization (μB per cell) = 0.001

Cell lengths 4.154, 4.154, 4.154 Å; angles 90.00, 90.00, 90.00 degrees
Element x y z (fractional)
Re 0.000 0.000 0.000
H 0.500 0.500 0.500
Cl 0.000 0.500 0.500
Cl 0.500 0.000 0.500
Cl 0.500 0.500 0.000



# 4
The following is a PBE calculation of crystalline ReHCl2 at its relaxed geometry, from Alexandria.

- calculated total energy (eV per atom) = -4.0044
- magnetization (μB per cell) = 0.000

Cell lengths 5.831, 5.831, 5.831 Å; angles 128.90, 128.90, 75.18 degrees
Element x y z (fractional)
Re 0.000 0.000 0.000
Re 0.750 0.250 0.500
H 0.250 0.750 0.500
H 0.500 0.500 0.000
Cl 0.185 0.625 0.060
Cl 0.375 0.435 0.560
Cl 0.565 0.125 0.940
Cl 0.875 0.815 0.440



# 5
The following is a PBE calculation of crystalline ReHCl2 at its relaxed geometry, from Alexandria.

- calculated total energy (eV per atom) = -4.3030
- magnetization (μB per cell) = 0.000

Cell lengths 7.346, 7.346, 7.346 Å; angles 23.44, 23.44, 23.44 degrees
Element x y z (fractional)
Re 0.000 0.000 0.000
H 0.500 0.500 0.500
Cl 0.105 0.105 0.105
Cl 0.895 0.895 0.895



# 6
The following is a PBE calculation of crystalline ReHCl3 at its relaxed geometry, from Alexandria.

- calculated total energy (eV per atom) = -3.8640
- magnetization (μB per cell) = 4.081

Cell lengths 4.855, 4.855, 4.855 Å; angles 90.00, 90.00, 90.00 degrees
Element x y z (fractional)
Re 0.000 0.000 0.000
H 0.500 0.500 0.500
Cl 0.000 0.000 0.500
Cl 0.000 0.500 0.000
Cl 0.500 0.000 0.000



# 7
The following is a PBE calculation of crystalline ReHCl2 at its relaxed geometry, from Alexandria.

- calculated total energy (eV per atom) = -3.8676
- magnetization (μB per cell) = 0.000

Cell lengths 4.185, 4.185, 4.185 Å; angles 60.00, 60.00, 60.00 degrees
Element x y z (fractional)
Re 0.000 0.000 0.000
H 0.500 0.500 0.500
Cl 0.250 0.250 0.250
Cl 0.750 0.750 0.750



# 8
The following is a PBE calculation of crystalline Re2HRhCl at its relaxed geometry, from Alexandria.

- calculated total energy (eV per atom) = -6.2429
- magnetization (μB per cell) = 0.000

Cell lengths 4.783, 4.783, 2.808 Å; angles 90.00, 90.00, 90.00 degrees
Element x y z (fractional)
Re 0.000 0.500 0.000
Re 0.500 0.000 0.000
H 0.000 0.000 0.500
Rh 0.500 0.500 0.500
Cl 0.000 0.000 0.000



# 9
The following is a PBE calculation of crystalline ReHSCl2 at its relaxed geometry, from Alexandria.

- calculated total energy (eV per atom) = -4.2908
- magnetization (μB per cell) = 2.374

Cell lengths 4.909, 4.909, 4.486 Å; angles 90.00, 90.00, 90.00 degrees
Element x y z (fractional)
Re 0.000 0.000 0.000
H 0.500 0.500 0.500
S 0.000 0.000 0.500
Cl 0.000 0.500 0.000
Cl 0.500 0.000 0.000



# 10
The following is a PBE calculation of crystalline ReHS2Cl at its relaxed geometry, from Alexandria.

- calculated total energy (eV per atom) = -4.6593
- magnetization (μB per cell) = 0.380

Cell lengths 4.539, 4.539, 5.087 Å; angles 90.00, 90.00, 90.00 degrees
Element x y z (fractional)
Re 0.000 0.000 0.000
H 0.500 0.500 0.500
S 0.000 0.500 0.000
S 0.500 0.000 0.000
Cl 0.000 0.000 0.500



# 11
The following is a PBE calculation of crystalline ReHSCl2 at its relaxed geometry, from Alexandria.

- calculated total energy (eV per atom) = -3.5300
- magnetization (μB per cell) = 3.095

Cell lengths 5.068, 5.068, 3.172 Å; angles 90.00, 90.00, 90.00 degrees
Element x y z (fractional)
Re 0.000 0.000 0.000
H 0.500 0.500 0.500
S 0.500 0.500 0.000
Cl 0.000 0.500 0.500
Cl 0.500 0.000 0.500



# 12
The following is a PBE calculation of crystalline ReHS2Cl at its relaxed geometry, from Alexandria.

- calculated total energy (eV per atom) = -3.9112
- magnetization (μB per cell) = 0.000

Cell lengths 3.786, 3.786, 4.478 Å; angles 90.00, 90.00, 90.00 degrees
Element x y z (fractional)
Re 0.000 0.000 0.000
H 0.500 0.500 0.500
S 0.000 0.500 0.500
S 0.500 0.000 0.500
Cl 0.500 0.500 0.000



# 13
The following is a PBE calculation of crystalline ReH2SeCl at its relaxed geometry, from Alexandria.

- calculated total energy (eV per atom) = -3.8774
- magnetization (μB per cell) = 3.110

Cell lengths 3.787, 3.787, 5.158 Å; angles 90.00, 90.00, 90.00 degrees
Element x y z (fractional)
Re 0.000 0.000 0.000
H 0.000 0.500 0.000
H 0.500 0.000 0.000
Se 0.500 0.500 0.500
Cl 0.000 0.000 0.500



# 14
The following is a PBE calculation of crystalline SrRe2HCl at its relaxed geometry, from Alexandria.

- calculated total energy (eV per atom) = -3.9039
- magnetization (μB per cell) = 10.000

Cell lengths 6.437, 6.437, 4.388 Å; angles 90.00, 90.00, 90.00 degrees
Element x y z (fractional)
Sr 0.000 0.000 0.000
Re 0.000 0.500 0.000
Re 0.500 0.000 0.000
H 0.000 0.000 0.500
Cl 0.500 0.500 0.500



# 15
The following is a PBE calculation of crystalline H2RhCl8 at its relaxed geometry, from Alexandria.

- calculated total energy (eV per atom) = -2.8875
- magnetization (μB per cell) = 2.613

Cell lengths 8.172, 8.172, 5.138 Å; angles 90.30, 90.30, 68.94 degrees
Element x y z (fractional)
H 0.220 0.220 0.367
H 0.780 0.780 0.633
Rh 0.500 0.500 0.500
Cl 0.146 0.146 0.205
Cl 0.267 0.624 0.216
Cl 0.342 0.342 0.685
Cl 0.376 0.733 0.784
Cl 0.624 0.267 0.216
Cl 0.658 0.658 0.315
Cl 0.733 0.376 0.784
Cl 0.854 0.854 0.795



# 16
The following is a PBE calculation of crystalline H2Rh2Cl at its relaxed geometry, from Alexandria.

- calculated total energy (eV per atom) = -4.4317
- magnetization (μB per cell) = 1.437

Cell lengths 5.809, 5.809, 5.809 Å; angles 148.05, 148.05, 45.80 degrees
Element x y z (fractional)
H 0.250 0.750 0.500
H 0.750 0.250 0.500
Rh 0.163 0.163 0.000
Rh 0.837 0.837 0.000
Cl 0.500 0.500 0.000



# 17
The following is a PBE calculation of crystalline HRhCl3 at its relaxed geometry, from Alexandria.

- calculated total energy (eV per atom) = -2.4695
- magnetization (μB per cell) = 3.030

Cell lengths 4.359, 4.359, 4.359 Å; angles 90.00, 90.00, 90.00 degrees
Element x y z (fractional)
H 0.000 0.000 0.000
Rh 0.500 0.500 0.500
Cl 0.000 0.000 0.500
Cl 0.000 0.500 0.000
Cl 0.500 0.000 0.000



# 18
The following is a PBE calculation of crystalline HRhCl4 at its relaxed geometry, from Alexandria.

- calculated total energy (eV per atom) = -3.5631
- magnetization (μB per cell) = 0.000

Cell lengths 8.863, 8.863, 6.160 Å; angles 92.21, 92.21, 142.75 degrees
Element x y z (fractional)
H 0.145 0.855 0.750
H 0.855 0.145 0.250
Rh 0.449 0.551 0.250
Rh 0.551 0.449 0.750
Cl 0.105 0.408 0.377
Cl 0.225 0.322 0.901
Cl 0.322 0.225 0.401
Cl 0.408 0.105 0.877
Cl 0.592 0.895 0.123
Cl 0.678 0.775 0.599
Cl 0.775 0.678 0.099
Cl 0.895 0.592 0.623



# 19
The following is a PBE calculation of crystalline HRh2Cl at its relaxed geometry, from Alexandria.

- calculated total energy (eV per atom) = -4.1005
- magnetization (μB per cell) = 0.000

Cell lengths 4.118, 4.118, 4.118 Å; angles 60.00, 60.00, 60.00 degrees
Element x y z (fractional)
H 0.000 0.000 0.000
Rh 0.250 0.250 0.250
Rh 0.750 0.750 0.750
Cl 0.500 0.500 0.500



# 20
The following is a PBE calculation of crystalline H2RhCl at its relaxed geometry, from Alexandria.

- calculated total energy (eV per atom) = -3.0392
- magnetization (μB per cell) = 0.000

Cell lengths 3.784, 3.784, 3.784 Å; angles 60.00, 60.00, 60.00 degrees
Element x y z (fractional)
H 0.250 0.250 0.250
H 0.750 0.750 0.750
Rh 0.000 0.000 0.000
Cl 0.500 0.500 0.500



# 21
The following is a PBE calculation of crystalline H2Rh2Cl at its relaxed geometry, from Alexandria.

- calculated total energy (eV per atom) = -4.3426
- magnetization (μB per cell) = 0.000

Cell lengths 6.205, 6.205, 3.191 Å; angles 90.00, 90.00, 90.00 degrees
Element x y z (fractional)
H 0.097 0.403 0.000
H 0.403 0.903 0.000
H 0.597 0.097 0.000
H 0.903 0.597 0.000
Rh 0.164 0.336 0.500
Rh 0.336 0.836 0.500
Rh 0.664 0.164 0.500
Rh 0.836 0.664 0.500
Cl 0.000 0.000 0.500
Cl 0.500 0.500 0.500



# 22
The following is a PBE calculation of crystalline H3RhCl at its relaxed geometry, from Alexandria.

- calculated total energy (eV per atom) = -2.5145
- magnetization (μB per cell) = 0.000

Cell lengths 3.557, 3.557, 3.557 Å; angles 90.00, 90.00, 90.00 degrees
Element x y z (fractional)
H 0.000 0.000 0.500
H 0.000 0.500 0.000
H 0.500 0.000 0.000
Rh 0.500 0.500 0.500
Cl 0.000 0.000 0.000



# 23
The following is a PBE calculation of crystalline H2RhCl at its relaxed geometry, from Alexandria.

- calculated total energy (eV per atom) = -3.8190
- magnetization (μB per cell) = 0.000

Cell lengths 5.132, 5.132, 5.132 Å; angles 102.93, 102.93, 123.53 degrees
Element x y z (fractional)
H 0.000 0.000 0.000
H 0.000 0.000 0.500
H 0.000 0.500 0.000
H 0.500 0.000 0.500
Rh 0.125 0.875 0.250
Rh 0.875 0.125 0.750
Cl 0.375 0.625 0.750
Cl 0.625 0.375 0.250



# 24
The following is a PBE calculation of crystalline HRhCl at its relaxed geometry, from Alexandria.

- calculated total energy (eV per atom) = -4.2012
- magnetization (μB per cell) = 0.747

Cell lengths 3.529, 4.819, 5.894 Å; angles 73.34, 87.41, 79.21 degrees
Element x y z (fractional)
H 0.096 0.346 0.164
H 0.904 0.654 0.836
Rh 0.212 0.689 0.042
Rh 0.788 0.311 0.958
Cl 0.321 0.166 0.731
Cl 0.679 0.834 0.269



# 25
The following is a PBE calculation of crystalline H3RhCl at its relaxed geometry, from Alexandria.

- calculated total energy (eV per atom) = -3.3030
- magnetization (μB per cell) = 0.000

Cell lengths 3.587, 3.587, 3.587 Å; angles 90.00, 90.00, 90.00 degrees
Element x y z (fractional)
H 0.000 0.000 0.500
H 0.000 0.500 0.000
H 0.500 0.000 0.000
Rh 0.000 0.000 0.000
Cl 0.500 0.500 0.500



# 26
The following is a PBE calculation of crystalline HRh2Cl at its relaxed geometry, from Alexandria.

- calculated total energy (eV per atom) = -4.6900
- magnetization (μB per cell) = 0.000

Cell lengths 5.694, 5.694, 5.694 Å; angles 129.44, 129.44, 74.30 degrees
Element x y z (fractional)
H 0.000 0.000 0.000
H 0.750 0.250 0.500
Rh 0.023 0.625 0.898
Rh 0.375 0.273 0.398
Rh 0.727 0.125 0.102
Rh 0.875 0.977 0.602
Cl 0.250 0.750 0.500
Cl 0.500 0.500 0.000